AcLaNiAu, optimized geometry, DFT GGA-PBE; V = 26.50 A^3/atom; distance to the lowest polymorph of the same formula = 81 meV per atom
1.0
0.0000 3.7561 3.7561
3.7561 0.0000 3.7561
3.7561 3.7561 0.0000
Ac La Ni Au
1 1 1 1
direct
0.0000 0.0000 0.0000
0.5000 0.5000 0.5000
0.7500 0.7500 0.7500
0.2500 0.2500 0.2500